Below is a relaxed structure of FeCuPd3, with properties calculated at the PBE level. Values from VASP.

Output
ΔE_f ... 861 meV/atom
Offset from the most stable computed form ... 954.1 meV per atom

Structure (Quantum ESPRESSO input):
```
&SYSTEM
  ibrav = 0, nat = 5, ntyp = 3
/
ATOMIC_SPECIES
Pd 106.42 Pd.upf
Cu 63.55 Cu.upf
Fe 55.84 Fe.upf
CELL_PARAMETERS angstrom
-4.0591 -1.8012 -1.1516
2.0068 -4.0622 -0.7200
-0.7370 -1.1408 4.3820
ATOMIC_POSITIONS angstrom
Pd 1.0034 -2.0311 -0.3600
Pd -2.0296 -0.9006 -0.5758
Cu -1.3947 -3.5021 1.2552
Fe 0.0000 0.0000 0.0000
Pd -0.3685 -0.5704 2.1910
```



Below is a relaxed structure of Zn2NiPb, with properties calculated at the PBE level. Values from VASP.

Output
ΔE_f ... 209 meV/atom

Structure (Quantum ESPRESSO input):
```
&SYSTEM
  ibrav = 0, nat = 4, ntyp = 3
/
ATOMIC_SPECIES
Zn 65.41 Zn.upf
Pb 207.20 Pb.upf
Ni 58.69 Ni.upf
CELL_PARAMETERS angstrom
-1.6446 0.7978 -4.7949
-4.5498 -2.1698 -0.9611
1.7932 3.0481 3.7183
ATOMIC_POSITIONS angstrom
Zn 0.0000 0.0000 0.0000
Zn -3.0972 -0.6860 -2.8780
Pb -1.4743 1.5800 -1.9773
Ni -2.9269 0.0962 -0.0604
```



Below is a relaxed structure of Sc5Ga4Hg, with properties calculated at the PBE level. Values from VASP.

Output
ΔE_f ... -561 meV/atom

Structure (Quantum ESPRESSO input):
```
&SYSTEM
  ibrav = 0, nat = 10, ntyp = 3
/
ATOMIC_SPECIES
Sc 44.96 Sc.upf
Ga 69.72 Ga.upf
Hg 200.59 Hg.upf
CELL_PARAMETERS angstrom
-0.6415 -0.7591 -3.2009
-2.1114 -2.4058 0.9937
-13.0566 11.4207 -0.0917
ATOMIC_POSITIONS angstrom
Sc -5.3819 1.9211 -1.1317
Sc -7.9047 4.1279 -1.1494
Ga -2.7133 2.3733 -0.0191
Ga -5.2642 4.6046 -0.0370
Sc -2.8397 -0.3025 -1.1138
Sc -12.9698 8.5583 -1.1850
Hg 0.0000 0.0000 0.0000
Ga -7.7924 6.8160 -0.0547
Sc -10.4276 6.3346 -1.1671
Ga -10.3434 9.0474 -0.0727
```



Below is a relaxed structure of BaAcPr2, with properties calculated at the PBE level. Values from VASP.

Output
ΔE_f ... 101 meV/atom
Offset from the most stable computed form ... 0.0 meV per atom

Structure (Quantum ESPRESSO input):
```
&SYSTEM
  ibrav = 0, nat = 4, ntyp = 3
/
ATOMIC_SPECIES
Ba 137.33 Ba.upf
Ac 227.00 Ac.upf
Pr 140.91 Pr.upf
CELL_PARAMETERS angstrom
-2.4239 2.5590 1.6752
1.4884 -0.8804 3.4985
7.7128 8.1166 -1.2386
ATOMIC_POSITIONS angstrom
Ba 3.3886 4.8975 1.9675
Ac -0.4678 0.8393 2.5869
Pr 1.7587 1.8508 -0.2824
Pr 5.9541 6.2658 -0.9562
```



Below is a relaxed structure of K3HfCr, with properties calculated at the PBE level. Values from VASP.

Output
ΔE_f ... 1620 meV/atom
Offset from the most stable computed form ... 0.0 meV per atom

Structure (Quantum ESPRESSO input):
```
&SYSTEM
  ibrav = 0, nat = 5, ntyp = 3
/
ATOMIC_SPECIES
K 39.10 K.upf
Cr 52.00 Cr.upf
Hf 178.49 Hf.upf
CELL_PARAMETERS angstrom
-0.9739 -5.1252 -3.8141
3.8172 2.6269 -4.5046
5.1229 -2.9317 2.6314
ATOMIC_POSITIONS angstrom
K -0.4869 -2.5626 -1.9071
Cr 0.0000 0.0000 0.0000
K 2.5614 -1.4659 1.3157
Hf 3.9831 -2.7150 -2.8436
K 1.9086 1.3135 -2.2523
```



Below is a relaxed structure of CaDy2PuO8, with properties calculated at the PBE level. Values from VASP.

Output
E_form (uncorrected) ... -2.802 eV per atom

Structure (Quantum ESPRESSO input):
```
&SYSTEM
  ibrav = 0, nat = 12, ntyp = 4
/
ATOMIC_SPECIES
Ca 40.08 Ca.upf
Pu 244.00 Pu.upf
O 16.00 O.upf
Dy 162.50 Dy.upf
CELL_PARAMETERS angstrom
5.0699 -0.0594 -0.0029
-0.0318 5.0800 -0.0055
0.0042 0.0077 7.0734
ATOMIC_POSITIONS angstrom
Ca 0.0021 0.0039 3.5367
Pu 0.0000 0.0000 0.0000
O 0.9038 4.1361 5.5925
O 1.5937 1.5827 3.5340
O 3.6087 3.6142 7.0673
Dy 2.5222 2.5160 5.2561
O 0.9013 4.1316 1.4709
Dy 2.5201 2.5122 1.8089
O 3.4486 3.4455 3.5309
O 1.4335 1.4140 -0.0024
O 4.1385 0.8922 1.4725
O 4.1410 0.8967 5.5941
```



Below is a relaxed structure of Pm3Pr3ErSe8, with properties calculated at the PBE level. Values from VASP.

Output
E_form (uncorrected) ... -1.872 eV per atom

Structure (Quantum ESPRESSO input):
```
&SYSTEM
  ibrav = 0, nat = 15, ntyp = 4
/
ATOMIC_SPECIES
Se 78.96 Se.upf
Pr 140.91 Pr.upf
Pm 145.00 Pm.upf
Er 167.26 Er.upf
CELL_PARAMETERS angstrom
8.4031 0.0000 0.0000
-4.2015 7.2780 -0.0256
0.0000 -4.8284 6.9183
ATOMIC_POSITIONS angstrom
Se -2.1386 3.6770 5.0965
Pr 2.1008 3.6390 -0.0128
Se 2.1386 3.6770 5.0965
Pm -2.1008 1.2248 3.4464
Se 4.2015 0.0156 5.1364
Pm 4.2015 -2.4142 3.4592
Se 0.0000 2.4341 1.7564
Pr -2.1008 3.6390 -0.0128
Er 0.0000 -2.4142 3.4592
Se 0.0000 -0.0235 5.1070
Se 6.3401 -1.2274 1.7963
Pr 0.0000 0.0000 0.0000
Se 4.2015 2.4731 1.7857
Pm 2.1008 1.2248 3.4464
Se 2.0630 -1.2274 1.7963
```



Below is a relaxed structure of MgNbCo3, with properties calculated at the PBE level. Values from VASP.

Output
ΔE_f ... 1237 meV/atom

Structure (Quantum ESPRESSO input):
```
&SYSTEM
  ibrav = 0, nat = 5, ntyp = 3
/
ATOMIC_SPECIES
Co 58.93 Co.upf
Mg 24.30 Mg.upf
Nb 92.91 Nb.upf
CELL_PARAMETERS angstrom
-3.3458 -2.0456 -1.4049
1.4221 0.3521 -3.8995
2.0336 -3.6116 0.4155
ATOMIC_POSITIONS angstrom
Co -1.6729 -1.0228 -0.7024
Co 0.7110 0.1760 -1.9497
Mg 0.0000 0.0000 0.0000
Nb 0.0550 -2.6526 -2.4444
Co 1.0168 -1.8058 0.2078
```



Below is a relaxed structure of NdY2Tm8, with properties calculated at the PBE level. Values from VASP.

Output
ΔE_f ... 28 meV/atom
Offset from the most stable computed form ... 0.0 meV per atom

Structure (Quantum ESPRESSO input):
```
&SYSTEM
  ibrav = 0, nat = 11, ntyp = 3
/
ATOMIC_SPECIES
Y 88.91 Y.upf
Tm 168.93 Tm.upf
Nd 144.24 Nd.upf
CELL_PARAMETERS angstrom
-0.6032 -4.7633 1.3063
6.0306 -2.0373 -4.6444
3.9672 4.1156 7.3623
ATOMIC_POSITIONS angstrom
Y 5.5119 -0.5090 0.6891
Y 3.8827 -2.1760 3.3351
Tm 4.6881 -1.3629 6.6720
Tm 4.7066 -1.3221 -2.6478
Nd -0.3016 -2.3816 0.6531
Tm 2.0928 0.1056 1.3513
Tm 3.1094 -2.9969 -0.0154
Tm 7.3019 -2.7906 2.6729
Tm 2.8897 0.9154 4.6724
Tm 6.5050 -3.6004 -0.6481
Tm 6.2853 0.3119 4.0397
```



Below is a relaxed structure of FeCo2, with properties calculated at the PBE level. Values from VASP.

Output
ΔE_f ... 29 meV/atom

Structure (Quantum ESPRESSO input):
```
&SYSTEM
  ibrav = 0, nat = 6, ntyp = 2
/
ATOMIC_SPECIES
Co 58.93 Co.upf
Fe 55.84 Fe.upf
CELL_PARAMETERS angstrom
-0.2822 1.6183 -2.3093
-2.7956 -0.4647 0.0159
-1.1064 6.8242 4.9174
ATOMIC_POSITIONS angstrom
Co -1.7280 1.7430 -0.3064
Co -0.3641 2.2459 1.6184
Co -2.0912 3.9835 1.3081
Co -0.0009 0.0054 0.0039
Fe -2.4658 6.2936 2.9728
Fe -0.7327 4.5194 3.2566
```



Below is a relaxed structure of DyErIr, with properties calculated at the PBE level. Values from VASP.

Output
ΔE_f ... -728 meV/atom
Offset from the most stable computed form ... 0.0 meV per atom

Structure (Quantum ESPRESSO input):
```
&SYSTEM
  ibrav = 0, nat = 6, ntyp = 3
/
ATOMIC_SPECIES
Er 167.26 Er.upf
Dy 162.50 Dy.upf
Ir 192.22 Ir.upf
CELL_PARAMETERS angstrom
-3.6686 -2.8792 1.0591
1.8836 -3.4168 -2.7671
3.4237 -2.4005 5.3075
ATOMIC_POSITIONS angstrom
Er 1.7948 -2.3078 -0.0544
Dy 0.7367 -3.2408 4.5076
Dy 0.9020 -5.4557 -0.9081
Ir 0.8194 -4.3482 1.7997
Ir 0.0000 0.0000 0.0000
Er -0.1560 -6.3887 3.6539
```



Below is a relaxed structure of PrTlPdAu, with properties calculated at the PBE level. Values from VASP.

Output
ΔE_f ... -537 meV/atom

Structure (Quantum ESPRESSO input):
```
&SYSTEM
  ibrav = 0, nat = 4, ntyp = 4
/
ATOMIC_SPECIES
Pd 106.42 Pd.upf
Au 196.97 Au.upf
Tl 204.38 Tl.upf
Pr 140.91 Pr.upf
CELL_PARAMETERS angstrom
-3.7982 -1.1976 -3.1015
-4.4972 -1.2874 1.8968
-3.9352 3.1225 -0.4942
ATOMIC_POSITIONS angstrom
Pd -6.1153 0.3188 -0.8494
Au 0.0000 0.0000 0.0000
Tl -9.1730 0.4781 -1.2742
Pr -3.0577 0.1594 -0.4247
```



Below is a relaxed structure of BaSr2Mg, with properties calculated at the PBE level. Values from VASP.

Output
ΔE_f ... 47 meV/atom

Structure (Quantum ESPRESSO input):
```
&SYSTEM
  ibrav = 0, nat = 4, ntyp = 3
/
ATOMIC_SPECIES
Sr 87.62 Sr.upf
Ba 137.33 Ba.upf
Mg 24.30 Mg.upf
CELL_PARAMETERS angstrom
-2.3537 4.6688 3.6981
-6.1117 -0.1963 1.9032
-1.4067 -1.1771 6.1359
ATOMIC_POSITIONS angstrom
Sr 0.0000 0.0000 0.0000
Ba -4.9360 1.6477 5.8686
Mg -7.4041 2.4716 8.8029
Sr -2.4680 0.8239 2.9343
```